i.
Here is a geometry-optimized KBa2Co structure from Alexandria via LeMat-Bulk. Energies are from GGA-PBE.

Summary:
density	3.23	g cm⁻³
symmetry	Immm (71)

```
4
Lattice="-2.140 3.540 6.326 2.140 -3.540 6.326 2.140 3.540 -6.326" Properties=species:S:1:pos:R:3 pbc="T T T"
K 0.000 0.000 0.000
Ba 2.140 0.000 4.198
Ba 0.000 3.540 2.128
Co 0.000 0.000 6.326
```

=====

ii.
Here is a geometry-optimized KBa2Co structure from Alexandria via LeMat-Bulk. Energies are from GGA-PBE.

Summary:
density	3.66	g cm⁻³
symmetry	Cmmm (65)

```
4
Lattice="4.150 -4.154 0.000 4.150 4.154 0.000 0.000 0.000 4.903" Properties=species:S:1:pos:R:3 pbc="T T T"
K 0.000 0.000 0.000
Ba 2.075 2.077 2.452
Ba 2.075 -2.077 2.452
Co 4.150 0.000 0.000
```

=====

Last place for stability: ii

=====

i.
Here is a geometry-optimized KBa2Co structure from Alexandria via LeMat-Bulk. Energies are from GGA-PBE.

Summary:
density	3.88	g cm⁻³
symmetry	F-43m (216)

```
4
Lattice="0.000 4.304 4.304 4.304 0.000 4.304 4.304 4.304 0.000" Properties=species:S:1:pos:R:3 pbc="T T T"
K 0.000 0.000 0.000
Ba 4.304 4.304 4.304
Ba 6.456 6.456 6.456
Co 2.152 2.152 2.152
```

=====

ii.
Here is a geometry-optimized KBa2Co structure from Alexandria via LeMat-Bulk. Energies are from GGA-PBE.

Summary:
density	3.09	g cm⁻³
symmetry	Amm2 (38)

```
4
Lattice="4.452 0.000 0.000 0.000 3.055 7.357 0.000 -3.055 7.357" Properties=species:S:1:pos:R:3 pbc="T T T"
K 0.000 0.000 0.000
Ba 0.000 0.000 10.249
Ba 2.226 0.000 5.121
Co 2.226 0.000 12.204
```

=====

Last place for stability: i

=====

i.
Here is a geometry-optimized KBaCo structure from Alexandria via LeMat-Bulk. Energies are from GGA-PBE.

Summary:
density	3.31	g cm⁻³
symmetry	F-43m (216)

```
3
Lattice="0.000 3.895 3.895 3.895 0.000 3.895 3.895 3.895 0.000" Properties=species:S:1:pos:R:3 pbc="T T T"
K 0.000 0.000 0.000
Ba 3.895 3.895 3.895
Co 5.843 5.843 5.843
```

=====

ii.
Here is a geometry-optimized KBaCo structure from Alexandria via LeMat-Bulk. Energies are from GGA-PBE.

Summary:
density	2.85	g cm⁻³
symmetry	P3m1 (156)

```
3
Lattice="4.512 0.000 0.000 -2.256 3.908 0.000 0.000 0.000 7.765" Properties=species:S:1:pos:R:3 pbc="T T T"
K 0.000 0.000 0.000
Ba 0.000 2.605 4.116
Co 2.256 1.303 5.602
```

=====

iii.
Here is a geometry-optimized KBaCo structure from Alexandria via LeMat-Bulk. Energies are from GGA-PBE.

Summary:
density	3.18	g cm⁻³
symmetry	I4mm (107)

```
3
Lattice="-1.974 1.974 7.891 1.974 -1.974 7.891 1.974 1.974 -7.891" Properties=species:S:1:pos:R:3 pbc="T T T"
K 0.000 0.000 0.000
Ba 0.000 0.000 11.965
Co 0.000 0.000 5.608
```

=====

Last place for stability: i

=====

i.
Here is a geometry-optimized BaLaCo structure from Alexandria via LeMat-Bulk. Energies are from GGA-PBE.

Summary:
density	5.81	g cm⁻³
symmetry	I4mm (107)

```
3
Lattice="-1.825 1.825 7.189 1.825 -1.825 7.189 1.825 1.825 -7.189" Properties=species:S:1:pos:R:3 pbc="T T T"
Ba 0.000 0.000 0.000
La 0.000 0.000 3.455
Co 0.000 0.000 9.371
```

=====

ii.
Here is a geometry-optimized BaLaCo structure from Alexandria via LeMat-Bulk. Energies are from GGA-PBE.

Summary:
density	5.27	g cm⁻³
symmetry	P3m1 (156)

```
3
Lattice="4.173 0.000 0.000 -2.086 3.614 0.000 0.000 0.000 7.006" Properties=species:S:1:pos:R:3 pbc="T T T"
Ba 0.000 0.000 0.000
La 0.000 2.409 3.214
Co 2.086 1.205 2.018
```

=====

Last place for stability: i